No. 1
# Tb2PmCo | the Alexandria database | PBE | relaxed
# SG: No. 166
# Volume (Å³ per cell): 119.1
# ΔE_f (eV per formula unit): 0.58
data_Tb2PmCo
_chemical_formula_sum 'Tb2 Pm1 Co1'
_cell_length_a 3.642
_cell_length_b 3.642
_cell_length_c 10.583
_cell_angle_alpha 80.09
_cell_angle_beta 80.09
_cell_angle_gamma 60.00
_space_group_name_H-M_alt 'P 1'
_space_group_IT_number 1
_space_group_name_Hall 'P 1'
loop_
_atom_site_label
_atom_site_type_symbol
_atom_site_fract_x
_atom_site_fract_y
_atom_site_fract_z
_atom_site_occupancy
Pm1 Pm 0.000 0.000 0.000 1
Tb1 Tb 0.885 0.885 0.346 1
Tb2 Tb 0.115 0.115 0.654 1
Co1 Co 0.500 0.500 0.500 1

---

No. 2
# TbPm3Co | the Alexandria database | PBE | relaxed
# SG: No. 221
# Volume (Å³ per cell): 157.9
# ΔE_f (eV per formula unit): 0.44
data_TbPm3Co
_chemical_formula_sum 'Tb1 Pm3 Co1'
_cell_length_a 5.405
_cell_length_b 5.405
_cell_length_c 5.405
_cell_angle_alpha 90.00
_cell_angle_beta 90.00
_cell_angle_gamma 90.00
_space_group_name_H-M_alt 'P 1'
_space_group_IT_number 1
_space_group_name_Hall 'P 1'
loop_
_atom_site_label
_atom_site_type_symbol
_atom_site_fract_x
_atom_site_fract_y
_atom_site_fract_z
_atom_site_occupancy
Co1 Co 0.000 0.000 0.000 1
Pm1 Pm 0.000 0.500 0.000 1
Tb1 Tb 0.500 0.500 0.500 1
Pm2 Pm 0.000 0.000 0.500 1
Pm3 Pm 0.500 0.000 0.000 1

---

No. 3
# TbPm2Co | the Alexandria database | PBE | relaxed
# SG: No. 166
# Volume (Å³ per cell): 111.0
# ΔE_f (eV per formula unit): 0.43
data_TbPm2Co
_chemical_formula_sum 'Tb1 Pm2 Co1'
_cell_length_a 3.875
_cell_length_b 3.875
_cell_length_c 8.820
_cell_angle_alpha 77.31
_cell_angle_beta 77.31
_cell_angle_gamma 60.00
_space_group_name_H-M_alt 'P 1'
_space_group_IT_number 1
_space_group_name_Hall 'P 1'
loop_
_atom_site_label
_atom_site_type_symbol
_atom_site_fract_x
_atom_site_fract_y
_atom_site_fract_z
_atom_site_occupancy
Tb1 Tb 0.500 0.500 0.500 1
Pm1 Pm 0.275 0.275 0.176 1
Co1 Co 0.000 0.000 0.000 1
Pm2 Pm 0.725 0.725 0.824 1

---

No. 4
# TbPmCo2 | the Alexandria database | PBE | relaxed
# SG: No. 26
# Volume (Å³ per cell): 167.3
# ΔE_f (eV per formula unit): -0.54
data_TbPmCo2
_chemical_formula_sum 'Tb2 Pm2 Co4'
_cell_length_a 3.885
_cell_length_b 5.662
_cell_length_c 7.607
_cell_angle_alpha 90.00
_cell_angle_beta 90.00
_cell_angle_gamma 90.00
_space_group_name_H-M_alt 'P 1'
_space_group_IT_number 1
_space_group_name_Hall 'P 1'
loop_
_atom_site_label
_atom_site_type_symbol
_atom_site_fract_x
_atom_site_fract_y
_atom_site_fract_z
_atom_site_occupancy
Co1 Co 0.000 0.644 0.529 1
Co2 Co 0.500 0.162 0.974 1
Co3 Co 0.500 0.838 0.474 1
Tb1 Tb 0.500 0.369 0.320 1
Pm1 Pm 0.000 0.132 0.677 1
Pm2 Pm 0.000 0.868 0.177 1
Tb2 Tb 0.500 0.631 0.820 1
Co4 Co 0.000 0.356 0.029 1